# 1
A plane-wave DFT calculation with PBE was carried out for an optimized crystal structure of Na14LiMg.

Cell: 11.9429 7.2596 12.6767 Å, 90.00 90.00 90.00°
Space group Amm2 (No. 38)
Asymmetric unit:
Na: 0.0000 0.0000 0.0000 (multiplicity 2)
Na: 0.0000 0.0000 0.4992 (multiplicity 2)
Na: 0.0000 0.2498 0.2476 (multiplicity 4)
Na: 0.2544 0.0000 0.8318 (multiplicity 4)
Na: 0.2557 0.0000 0.3303 (multiplicity 4)
Na: 0.2636 0.2498 0.0866 (multiplicity 8)
Na: 0.5000 0.2497 0.4161 (multiplicity 4)
Li: 0.5000 0.0000 0.6692 (multiplicity 2)
Mg: 0.5000 0.0000 0.1676 (multiplicity 2)

Results
Total moment (Bohr magnetons per cell): 0.0
Final energy (eV/atom): -1.338
Calculated formation energy (eV/atom): 0.035

---

# 2
A plane-wave DFT calculation with PBE was carried out for an optimized crystal structure of NaLi3Mg.

Cell: 5.8414 16.4383 5.1997 Å, 90.00 90.00 90.00°
Space group Cmcm (No. 63)
Asymmetric unit:
Na: 0.0000 0.1950 0.2500 (multiplicity 4)
Li: 0.0000 0.0000 0.0000 (multiplicity 4)
Li: 0.2365 0.3746 0.2500 (multiplicity 8)
Mg: 0.0000 0.4453 0.7500 (multiplicity 4)

Results
ΔE to the lowest computed polymorph (meV per atom): 0
Total moment (Bohr magnetons per cell): 0.0
Final energy (eV/atom): -1.638
Calculated formation energy (eV/atom): 0.093

---

# 3
A plane-wave DFT calculation with PBE was carried out for an optimized crystal structure of NaLi9Mg2.

Cell: 10.0080 10.0080 3.0519 Å, 90.00 90.00 120.00°
Space group P6/mmm (No. 191)
Asymmetric unit:
Na: 0.0000 0.0000 0.0000 (multiplicity 1)
Li: 0.0000 0.5000 0.0000 (multiplicity 3)
Li: 0.1786 0.3571 0.5000 (multiplicity 6)
Mg: 0.3333 0.6667 0.0000 (multiplicity 2)

Results
ΔE to the lowest computed polymorph (meV per atom): 21
Total moment (Bohr magnetons per cell): 0.0
Final energy (eV/atom): -1.790
Calculated formation energy (eV/atom): 0.021

---

# 4
A plane-wave DFT calculation with PBE was carried out for an optimized crystal structure of Na2Li7Mg.

Cell: 5.8481 25.9949 3.0844 Å, 90.00 90.00 90.00°
Space group Cmmm (No. 65)
Asymmetric unit:
Na: 0.0000 0.2045 0.0000 (multiplicity 4)
Li: 0.0000 0.0000 0.0000 (multiplicity 2)
Li: 0.0000 0.3212 0.5000 (multiplicity 4)
Li: 0.2439 0.4081 0.0000 (multiplicity 8)
Mg: 0.0000 0.5000 0.5000 (multiplicity 2)

Results
Total moment (Bohr magnetons per cell): 0.0
Final energy (eV/atom): -1.719
Calculated formation energy (eV/atom): 0.044

---

# 5
A plane-wave DFT calculation with PBE was carried out for an optimized crystal structure of NaLi7Mg2.

Cell: 5.5786 25.9061 3.0382 Å, 90.00 90.00 90.00°
Space group Cmmm (No. 65)
Asymmetric unit:
Na: 0.0000 0.0000 0.0000 (multiplicity 2)
Li: 0.0000 0.1912 0.0000 (multiplicity 4)
Li: 0.0000 0.5000 0.5000 (multiplicity 2)
Li: 0.2442 0.3953 0.5000 (multiplicity 8)
Mg: 0.0000 0.2899 0.5000 (multiplicity 4)

Results
Total moment (Bohr magnetons per cell): 0.0
Final energy (eV/atom): -1.742
Calculated formation energy (eV/atom): 0.049

---

# 6
A plane-wave DFT calculation with PBE was carried out for an optimized crystal structure of NaLi4Mg.

Cell: 3.2899 21.5494 7.7170 Å, 90.00 90.00 90.00°
Space group Cmcm (No. 63)
Asymmetric unit:
Na: 0.0000 0.2441 0.2500 (multiplicity 4)
Li: 0.0000 0.0000 0.0000 (multiplicity 4)
Li: 0.0000 0.1437 0.5373 (multiplicity 8)
Li: 0.0000 0.4367 0.2500 (multiplicity 4)
Mg: 0.0000 0.4182 0.7500 (multiplicity 4)

Results
ΔE to the lowest computed polymorph (meV per atom): 0
Total moment (Bohr magnetons per cell): 0.0
Final energy (eV/atom): -1.739
Calculated formation energy (eV/atom): 0.022

---

# 7
A plane-wave DFT calculation with PBE was carried out for an optimized crystal structure of Na3LiMg.

Cell: 5.6159 5.6159 5.6159 Å, 90.00 90.00 90.00°
Space group Pm-3m (No. 221)
Asymmetric unit:
Na: 0.0000 0.0000 0.5000 (multiplicity 3)
Li: 0.0000 0.0000 0.0000 (multiplicity 1)
Mg: 0.5000 0.5000 0.5000 (multiplicity 1)

Results
ΔE to the lowest computed polymorph (meV per atom): 0
Total moment (Bohr magnetons per cell): 0.0
Final energy (eV/atom): -1.162
Calculated formation energy (eV/atom): 0.331

---

# 8
A plane-wave DFT calculation with PBE was carried out for an optimized crystal structure of NaLi6Mg.

Cell: 5.1146 6.2967 10.8729 Å, 90.00 90.00 90.00°
Space group Amm2 (No. 38)
Asymmetric unit:
Na: 0.0000 0.0000 0.0000 (multiplicity 2)
Li: 0.0000 0.0000 0.5028 (multiplicity 2)
Li: 0.0000 0.2470 0.7491 (multiplicity 4)
Li: 0.5000 0.0000 0.1758 (multiplicity 2)
Li: 0.5000 0.2380 0.4143 (multiplicity 4)
Mg: 0.5000 0.0000 0.6681 (multiplicity 2)

Results
Total moment (Bohr magnetons per cell): 0.0
Final energy (eV/atom): -1.789
Calculated formation energy (eV/atom): 0.011

---

# 9
A plane-wave DFT calculation with PBE was carried out for an optimized crystal structure of NaLi4Mg.

Cell: 8.1895 8.1895 8.1895 Å, 90.00 90.00 90.00°
Space group F-43m (No. 216)
Asymmetric unit:
Na: 0.0000 0.0000 0.0000 (multiplicity 4)
Li: 0.1238 0.1238 0.6238 (multiplicity 16)
Mg: 0.2500 0.2500 0.2500 (multiplicity 4)

Results
ΔE to the lowest computed polymorph (meV per atom): 35
Total moment (Bohr magnetons per cell): 0.0
Final energy (eV/atom): -1.704
Calculated formation energy (eV/atom): 0.057

---

# 10
A plane-wave DFT calculation with PBE was carried out for an optimized crystal structure of NaLiMg2.

Cell: 4.5173 4.5173 4.8681 Å, 90.00 90.00 90.00°
Space group P4/mmm (No. 123)
Asymmetric unit:
Na: 0.0000 0.0000 0.0000 (multiplicity 1)
Li: 0.5000 0.5000 0.0000 (multiplicity 1)
Mg: 0.0000 0.5000 0.5000 (multiplicity 2)

Results
ΔE to the lowest computed polymorph (meV per atom): 37
Total moment (Bohr magnetons per cell): 0.0
Final energy (eV/atom): -1.526
Calculated formation energy (eV/atom): 0.079

---

# 11
A plane-wave DFT calculation with PBE was carried out for an optimized crystal structure of NaLi10Mg6.

Cell: 8.5111 8.5111 5.9759 Å, 90.00 90.00 120.00°
Space group P-31m (No. 162)
Asymmetric unit:
Na: 0.0000 0.0000 0.0000 (multiplicity 1)
Li: 0.0000 0.3081 0.3399 (multiplicity 6)
Li: 0.3333 0.6667 0.0000 (multiplicity 2)
Li: 0.3333 0.6667 0.5000 (multiplicity 2)
Mg: 0.0000 0.3612 0.8325 (multiplicity 6)

Results
Total moment (Bohr magnetons per cell): 0.0
Final energy (eV/atom): -1.749
Calculated formation energy (eV/atom): 0.017

---

# 12
A plane-wave DFT calculation with PBE was carried out for an optimized crystal structure of NaLiMg6.

Cell: 5.1049 6.5237 11.3054 Å, 90.00 90.00 90.00°
Space group Amm2 (No. 38)
Asymmetric unit:
Na: 0.0000 0.0000 0.0000 (multiplicity 2)
Li: 0.5000 0.0000 0.1671 (multiplicity 2)
Mg: 0.0000 0.0000 0.4965 (multiplicity 2)
Mg: 0.0000 0.2442 0.2463 (multiplicity 4)
Mg: 0.5000 0.0000 0.6636 (multiplicity 2)
Mg: 0.5000 0.2451 0.4099 (multiplicity 4)

Results
Total moment (Bohr magnetons per cell): 0.0
Final energy (eV/atom): -1.569
Calculated formation energy (eV/atom): 0.031

---

Among the records above, which one has the highest calculated formation energy?
Na3LiMg